## P
NaS5 | GGA-PBE | relaxed

Lattice parameters (Å, degrees): 6.3060 6.1592 12.6786 90.00 90.00 135.89
Closest atoms and distances in Å follow each position.
Fractional coordinates of all 12 atoms:
S (0.8409, 0.3070, 0.2500)  2 S 2.10
S (0.1560, 0.1531, 0.3969)  1 S 2.01
S (0.8440, 0.8469, 0.6031)  1 S 2.01
S (0.1560, 0.1531, 0.1031)  1 S 2.01
S (0.8440, 0.8469, 0.8969)  1 S 2.01
S (0.8675, 0.5411, 0.8778)  2 S 2.01-2.10
S (0.1325, 0.4589, 0.3778)  2 S 2.01-2.10
S (0.1325, 0.4589, 0.1222)  2 S 2.01-2.10
S (0.8675, 0.5411, 0.6222)  2 S 2.01-2.10
S (0.1591, 0.6930, 0.7500)  2 S 2.10
Na (0.3224, 0.3307, 0.7500)  8 S 2.92-3.27
Na (0.6776, 0.6693, 0.2500)  8 S 2.92-3.27

## Properties
- Density of states at the Fermi level: 2.82 states/eV/f.u.
- SG: P2_1/m (11)
- Total moment: 0.00 μB per formula unit

=====

## Q
NaS5 | GGA-PBE | relaxed

Lattice parameters (Å, degrees): 3.5640 3.3726 13.2367 97.32 90.00 90.00
Closest atoms and distances in Å follow each position.
Fractional coordinates of all 6 atoms:
S (0.5000, 0.5000, 0.0000)  4 Na 2.45
S (0.0000, 0.3338, 0.6676)  4 S 2.45
S (0.0000, 0.6662, 0.3324)  4 S 2.45
S (0.5000, 0.8372, 0.6744)  4 S 2.45
S (0.5000, 0.1628, 0.3256)  4 S 2.45
Na (0.0000, 0.0000, 0.0000)  4 S 2.45

## Properties
- Density of states at the Fermi level: 6.98 states/eV/f.u.
- SG: Cmmm (65)
- Total moment: 0.79 μB per formula unit

=====

Preferred: P; penalty for the next structure: 0.581 eV/atom.